Below is a geometry-optimized Li2Cr2F structure, with properties calculated at the PBE+U level.

Cell and atoms, written as POSCAR:
```
Li2Cr2F
1.0
3.249 0.000 0.000
0.000 3.249 0.000
1.625 1.625 7.845
Li F Cr
2 1 2
Direct
0.750 0.250 0.500 Li
0.250 0.750 0.500 Li
0.000 0.000 0.000 F
0.403 0.403 0.194 Cr
0.597 0.597 0.806 Cr
```

The calculation puts the theoretical density at 2.744 g/cm3. Its space group is I4/mmm (139). As for the total energy: -4.200 eV/atom. As for the crystal system: tetragonal. The polymorph energy (0 for the lowest one) comes out at 0.136 eV/atom.